{
  "formula": "GdSnAsO",
  "functional": "PBE",
  "state": "optimized geometry",
  "lattice_angstrom": [[4.922, 0.000, 0.000], [0.000, 6.184, 0.000], [0.000, 0.000, 6.374]],
  "species": ["Gd", "Gd", "Sn", "Sn", "As", "As", "O", "O"],
  "frac_coords": [[0.000, 0.163, 0.000], [0.000, 0.837, 0.500], [0.500, 0.252, 0.365], [0.500, 0.748, 0.865], [0.500, 0.284, 0.789], [0.500, 0.716, 0.289], [0.000, 0.146, 0.346], [0.000, 0.854, 0.846]],
  "magmom_total_mub_per_atom": 0.000,
  "space_group": "Pmc2_1, No. 26",
  "relative_energy_mev_per_atom": 145
}